DFT (GGA-PBEsol) results for an optimized crystal structure of KGa2Bi2.

```
KGa2Bi2
1.0
5.240 0.000 0.000
0.000 5.240 0.000
-2.620 -2.620 5.178
Ga K Bi
2 1 2
direct
0.621 0.621 0.242
0.379 0.379 0.758
0.000 0.000 0.000
0.750 0.250 0.500
0.250 0.750 0.500
```

## Properties
Energy of formation ... -0.7 eV per formula unit
Total energy ... -3.420 eV/atom
Total moment ... 0.00 Bohr magnetons per cell